[1]
Sc2RhAu6 | GGA-PBE | relaxed

CIF file:
```
data_Sc2RhAu6
_chemical_formula_sum 'Sc4 Rh2 Au12'
_cell_length_a 13.018
_cell_length_b 3.908
_cell_length_c 6.749
_cell_angle_alpha 90.00
_cell_angle_beta 110.55
_cell_angle_gamma 90.00
_space_group_name_H-M_alt 'C 1 2/m 1'
_space_group_IT_number 12
loop_
_space_group_symop_operation_xyz
'x,y,z'
'-x,-y,-z'
'-x,y,-z'
'x,-y,z'
'x+1/2,y+1/2,z'
'-x+1/2,-y+1/2,-z'
'-x+1/2,y+1/2,-z'
'x+1/2,-y+1/2,z'
loop_
_atom_site_label
_atom_site_fract_x
_atom_site_fract_y
_atom_site_fract_z
Sc1 0.056 0.000 0.304
Rh1 0.000 0.500 0.000
Au1 0.103 0.500 0.663
Au2 0.165 0.000 0.003
Au3 0.223 0.500 0.336
```

Values from the calculation:
formation enthalpy at 0 K = -563.3 meV per atom
density = 14197 kg/m3

---

[2]
Sc5RhAu | GGA-PBE | relaxed

CIF file:
```
data_Sc5RhAu
_chemical_formula_sum 'Sc20 Rh4 Au4'
_cell_length_a 8.305
_cell_length_b 6.668
_cell_length_c 11.212
_cell_angle_alpha 90.00
_cell_angle_beta 102.96
_cell_angle_gamma 90.00
_space_group_name_H-M_alt 'C 1 2/c 1'
_space_group_IT_number 15
loop_
_space_group_symop_operation_xyz
'x,y,z'
'-x,-y,-z'
'-x,y,-z+1/2'
'x,-y,z+1/2'
'x+1/2,y+1/2,z'
'-x+1/2,-y+1/2,-z'
'-x+1/2,y+1/2,-z+1/2'
'x+1/2,-y+1/2,z+1/2'
loop_
_atom_site_label
_atom_site_fract_x
_atom_site_fract_y
_atom_site_fract_z
Sc1 0.000 0.010 0.250
Sc2 0.129 0.344 0.572
Sc3 0.243 0.327 0.875
Rh1 0.000 0.000 0.000
Au1 0.000 0.422 0.250
```

Values from the calculation:
formation enthalpy at 0 K = -411.8 meV per atom
density = 5759 kg/m3

---

[3]
Sc5Rh2Au2 | GGA-PBE | relaxed

CIF file:
```
data_Sc5Rh2Au2
_chemical_formula_sum 'Sc20 Rh8 Au8'
_cell_length_a 14.788
_cell_length_b 6.878
_cell_length_c 7.079
_cell_angle_alpha 90.00
_cell_angle_beta 90.00
_cell_angle_gamma 90.00
_space_group_name_H-M_alt 'C m c e'
_space_group_IT_number 64
_space_group_name_Hall '-C 2ac 2'
loop_
_atom_site_label
_atom_site_fract_x
_atom_site_fract_y
_atom_site_fract_z
Sc1 0.000 0.000 0.000
Sc2 0.131 0.173 0.327
Rh1 0.000 0.135 0.638
Au1 0.211 0.000 0.000
```

Values from the calculation:
formation enthalpy at 0 K = -778.3 meV per atom
density = 7607 kg/m3

---

[4]
Sc2RhAu2 | GGA-PBE | relaxed

CIF file:
```
data_Sc2RhAu2
_chemical_formula_sum 'Sc4 Rh2 Au4'
_cell_length_a 7.376
_cell_length_b 7.376
_cell_length_c 3.561
_cell_angle_alpha 90.00
_cell_angle_beta 90.00
_cell_angle_gamma 90.00
_space_group_name_H-M_alt 'P 4/m b m'
_space_group_IT_number 127
_space_group_name_Hall '-P 4 2ab'
loop_
_atom_site_label
_atom_site_fract_x
_atom_site_fract_y
_atom_site_fract_z
Sc1 0.164 0.336 0.000
Rh1 0.000 0.000 0.000
Au1 0.137 0.637 0.500
```

Values from the calculation:
excess energy over the best structure of this formula in the dataset = 0.073 eV/atom
formation enthalpy at 0 K = -525.2 meV per atom
density = 10059 kg/m3

---

[5]
Sc6Rh2Au | GGA-PBE | relaxed

CIF file:
```
data_Sc6Rh2Au
_chemical_formula_sum 'Sc24 Rh8 Au4'
_cell_length_a 8.709
_cell_length_b 8.830
_cell_length_c 9.606
_cell_angle_alpha 90.00
_cell_angle_beta 90.00
_cell_angle_gamma 90.00
_space_group_name_H-M_alt 'I m m m'
_space_group_IT_number 71
_space_group_name_Hall '-I 2 2'
loop_
_atom_site_label
_atom_site_fract_x
_atom_site_fract_y
_atom_site_fract_z
Sc1 0.000 0.204 0.169
Sc2 0.182 0.219 0.500
Sc3 0.197 0.500 0.256
Rh1 0.000 0.000 0.362
Rh2 0.164 0.000 0.000
Au1 0.000 0.500 0.000
Au2 0.000 0.500 0.500
```

Values from the calculation:
formation enthalpy at 0 K = -650.8 meV per atom
density = 6047 kg/m3

---

[6]
Sc2RhAu | GGA-PBE | relaxed

CIF file:
```
data_Sc2RhAu
_chemical_formula_sum 'Sc8 Rh4 Au4'
_cell_length_a 6.578
_cell_length_b 6.578
_cell_length_c 6.578
_cell_angle_alpha 90.00
_cell_angle_beta 90.00
_cell_angle_gamma 90.00
_space_group_name_H-M_alt 'F -4 3 m'
_space_group_IT_number 216
_space_group_name_Hall 'F -4 2 3'
loop_
_atom_site_label
_atom_site_fract_x
_atom_site_fract_y
_atom_site_fract_z
Sc1 0.000 0.000 0.000
Sc2 0.250 0.250 0.250
Rh1 0.000 0.000 0.500
Au1 0.250 0.250 0.750
```

Values from the calculation:
formation enthalpy at 0 K = -526.9 meV per atom
density = 9095 kg/m3

---

[7]
Sc5Sn2Rh2Au | GGA-PBE | relaxed

CIF file:
```
data_Sc5Sn2Rh2Au
_chemical_formula_sum 'Sc10 Sn4 Rh4 Au2'
_cell_length_a 11.122
_cell_length_b 11.122
_cell_length_c 3.373
_cell_angle_alpha 90.00
_cell_angle_beta 90.00
_cell_angle_gamma 90.00
_space_group_name_H-M_alt 'P 4/m b m'
_space_group_IT_number 127
_space_group_name_Hall '-P 4 2ab'
loop_
_atom_site_label
_atom_site_fract_x
_atom_site_fract_y
_atom_site_fract_z
Sc1 0.000 0.500 0.000
Sc2 0.072 0.199 0.000
Sn1 0.172 0.672 0.500
Rh1 0.133 0.367 0.500
Au1 0.000 0.000 0.500
```

Values from the calculation:
formation enthalpy at 0 K = -709.0 meV per atom
density = 6885 kg/m3

---

[8]
ScSn2RhAu | GGA-PBE | relaxed

CIF file:
```
data_ScSn2RhAu
_chemical_formula_sum 'Sc1 Sn2 Rh1 Au1'
_cell_length_a 5.496
_cell_length_b 5.496
_cell_length_c 4.538
_cell_angle_alpha 90.00
_cell_angle_beta 90.00
_cell_angle_gamma 90.00
_space_group_name_H-M_alt 'P 4/m m m'
_space_group_IT_number 123
_space_group_name_Hall '-P 4 2'
loop_
_atom_site_label
_atom_site_fract_x
_atom_site_fract_y
_atom_site_fract_z
Sc1 0.000 0.000 0.000
Sn1 0.000 0.500 0.000
Rh1 0.000 0.000 0.500
Au1 0.500 0.500 0.500
```

Values from the calculation:
formation enthalpy at 0 K = 592.2 meV per atom
density = 7053 kg/m3

---

[9]
Sc5Tl2Rh2Au | GGA-PBE | relaxed

CIF file:
```
data_Sc5Tl2Rh2Au
_chemical_formula_sum 'Sc10 Tl4 Rh4 Au2'
_cell_length_a 11.166
_cell_length_b 11.166
_cell_length_c 3.398
_cell_angle_alpha 90.00
_cell_angle_beta 90.00
_cell_angle_gamma 90.00
_space_group_name_H-M_alt 'P 4/m b m'
_space_group_IT_number 127
_space_group_name_Hall '-P 4 2ab'
loop_
_atom_site_label
_atom_site_fract_x
_atom_site_fract_y
_atom_site_fract_z
Sc1 0.000 0.500 0.000
Sc2 0.077 0.198 0.000
Tl1 0.169 0.669 0.500
Rh1 0.134 0.366 0.500
Au1 0.000 0.000 0.500
```

Values from the calculation:
formation enthalpy at 0 K = -612.8 meV per atom
density = 8124 kg/m3

---

[10]
ScZnRhAu | GGA-PBE | relaxed

CIF file:
```
data_ScZnRhAu
_chemical_formula_sum 'Sc2 Zn2 Rh2 Au2'
_cell_length_a 4.156
_cell_length_b 4.156
_cell_length_c 7.544
_cell_angle_alpha 90.00
_cell_angle_beta 90.00
_cell_angle_gamma 90.00
_space_group_name_H-M_alt 'I -4 m 2'
_space_group_IT_number 119
_space_group_name_Hall 'I -4 -2'
loop_
_atom_site_label
_atom_site_fract_x
_atom_site_fract_y
_atom_site_fract_z
Sc1 0.000 0.000 0.000
Zn1 0.000 0.000 0.500
Rh1 0.000 0.500 0.250
Au1 0.000 0.500 0.750
```

Values from the calculation:
formation enthalpy at 0 K = -659.8 meV per atom
density = 10458 kg/m3

---

[11]
Sc4ZnRhAu2 | GGA-PBE | relaxed

CIF file:
```
data_Sc4ZnRhAu2
_chemical_formula_sum 'Sc12 Zn3 Rh3 Au6'
_cell_length_a 4.7416
_cell_length_b 4.7416
_cell_length_c 23.1950
_cell_angle_alpha 90.00
_cell_angle_beta 90.00
_cell_angle_gamma 120.00
_space_group_name_H-M_alt 'R -3 m'
_space_group_IT_number 166
_space_group_name_Hall '-R 3 2"'
loop_
_atom_site_label
_atom_site_fract_x
_atom_site_fract_y
_atom_site_fract_z
Sc1 0.0000 0.0000 0.1202
Sc2 0.0000 0.0000 0.3712
Zn1 0.0000 0.0000 0.5000
Rh1 0.0000 0.0000 0.0000
Au1 0.0000 0.0000 0.2440
```

Values from the calculation:
formation enthalpy at 0 K = -739.7 meV per atom
density = 8185 kg/m3

---

[12]
ZrScRhAu | GGA-PBE | relaxed

CIF file:
```
data_ZrScRhAu
_chemical_formula_sum 'Zr1 Sc1 Rh1 Au1'
_cell_length_a 3.328
_cell_length_b 3.328
_cell_length_c 6.793
_cell_angle_alpha 90.00
_cell_angle_beta 90.00
_cell_angle_gamma 90.00
_space_group_name_H-M_alt 'P 4 m m'
_space_group_IT_number 99
loop_
_space_group_symop_operation_xyz
'x,y,z'
'-y,x,z'
'-x,-y,z'
'y,-x,z'
'-x,y,z'
'y,x,z'
'x,-y,z'
'-y,-x,z'
loop_
_atom_site_label
_atom_site_fract_x
_atom_site_fract_y
_atom_site_fract_z
Zr1 0.000 0.000 0.000
Sc1 0.000 0.000 0.526
Rh1 0.500 0.500 0.769
Au1 0.500 0.500 0.272
```

Values from the calculation:
formation enthalpy at 0 K = -741.5 meV per atom
density = 9624 kg/m3

---

[13]
RhAuSe2 | GGA-PBE | relaxed

CIF file:
```
data_RhAuSe2
_chemical_formula_sum 'Rh4 Au4 Se8'
_cell_length_a 2.880
_cell_length_b 21.984
_cell_length_c 4.840
_cell_angle_alpha 90.00
_cell_angle_beta 90.00
_cell_angle_gamma 90.00
_space_group_name_H-M_alt 'C m c m'
_space_group_IT_number 63
_space_group_name_Hall '-C 2c 2'
loop_
_atom_site_label
_atom_site_fract_x
_atom_site_fract_y
_atom_site_fract_z
Rh1 0.000 0.042 0.250
Au1 0.000 0.305 0.250
Se1 0.000 0.066 0.750
Se2 0.000 0.167 0.250
```

Values from the calculation:
density = 9923 kg/m3
E_form (uncorrected) = 73 meV/atom

---

[14]
Rh2AuSe | GGA-PBE | relaxed

CIF file:
```
data_Rh2AuSe
_chemical_formula_sum 'Rh6 Au3 Se3'
_cell_length_a 3.0464
_cell_length_b 3.0464
_cell_length_c 24.2071
_cell_angle_alpha 90.00
_cell_angle_beta 90.00
_cell_angle_gamma 120.00
_space_group_name_H-M_alt 'R -3 m'
_space_group_IT_number 166
_space_group_name_Hall '-R 3 2"'
loop_
_atom_site_label
_atom_site_fract_x
_atom_site_fract_y
_atom_site_fract_z
Rh1 0.0000 0.0000 0.2412
Au1 0.0000 0.0000 0.0000
Se1 0.0000 0.0000 0.5000
```

Values from the calculation:
density = 12335 kg/m3
E_form (uncorrected) = 75 meV/atom

---

[15]
Rh2AuSe | GGA-PBE | relaxed

CIF file:
```
data_Rh2AuSe
_chemical_formula_sum 'Rh4 Au2 Se2'
_cell_length_a 7.131
_cell_length_b 3.279
_cell_length_c 6.027
_cell_angle_alpha 90.00
_cell_angle_beta 103.95
_cell_angle_gamma 90.00
_space_group_name_H-M_alt 'C 1 2/m 1'
_space_group_IT_number 12
loop_
_space_group_symop_operation_xyz
'x,y,z'
'-x,-y,-z'
'-x,y,-z'
'x,-y,z'
'x+1/2,y+1/2,z'
'-x+1/2,-y+1/2,-z'
'-x+1/2,y+1/2,-z'
'x+1/2,-y+1/2,z'
loop_
_atom_site_label
_atom_site_fract_x
_atom_site_fract_y
_atom_site_fract_z
Rh1 0.243 0.000 0.203
Au1 0.000 0.000 0.500
Se1 0.000 0.500 0.000
```

Values from the calculation:
density = 11697 kg/m3
E_form (uncorrected) = 39 meV/atom

---

[16]
RhAuSe2 | GGA-PBE | relaxed

CIF file:
```
data_RhAuSe2
_chemical_formula_sum 'Rh4 Au4 Se8'
_cell_length_a 5.917
_cell_length_b 5.917
_cell_length_c 10.952
_cell_angle_alpha 90.00
_cell_angle_beta 90.00
_cell_angle_gamma 90.00
_space_group_name_H-M_alt 'I -4 2 d'
_space_group_IT_number 122
_space_group_name_Hall 'I -4 2bw'
loop_
_atom_site_label
_atom_site_fract_x
_atom_site_fract_y
_atom_site_fract_z
Rh1 0.000 0.000 0.000
Au1 0.000 0.000 0.500
Se1 0.219 0.250 0.125
```

Values from the calculation:
density = 7931 kg/m3
E_form (uncorrected) = 1 meV/atom

---

[17]
RhAu2Se | GGA-PBE | relaxed

CIF file:
```
data_RhAu2Se
_chemical_formula_sum 'Rh1 Au2 Se1'
_cell_length_a 2.834
_cell_length_b 3.198
_cell_length_c 8.288
_cell_angle_alpha 90.00
_cell_angle_beta 90.20
_cell_angle_gamma 90.00
_space_group_name_H-M_alt 'P 1 m 1'
_space_group_IT_number 6
loop_
_space_group_symop_operation_xyz
'x,y,z'
'x,-y,z'
loop_
_atom_site_label
_atom_site_fract_x
_atom_site_fract_y
_atom_site_fract_z
Rh1 0.000 0.000 0.000
Au1 0.498 0.500 0.767
Au2 0.996 0.000 0.528
Se1 0.003 0.500 0.210
```

Values from the calculation:
density = 12732 kg/m3
E_form (uncorrected) = 57 meV/atom

---

[18]
RhAuSe2 | GGA-PBE | relaxed

CIF file:
```
data_RhAuSe2
_chemical_formula_sum 'Rh1 Au1 Se2'
_cell_length_a 4.129
_cell_length_b 3.602
_cell_length_c 5.255
_cell_angle_alpha 90.00
_cell_angle_beta 102.79
_cell_angle_gamma 90.00
_space_group_name_H-M_alt 'P 1 m 1'
_space_group_IT_number 6
loop_
_space_group_symop_operation_xyz
'x,y,z'
'x,-y,z'
loop_
_atom_site_label
_atom_site_fract_x
_atom_site_fract_y
_atom_site_fract_z
Rh1 0.000 0.000 0.000
Au1 0.395 0.500 0.367
Se1 0.595 0.500 0.904
Se2 0.918 0.000 0.479
```

Values from the calculation:
density = 9973 kg/m3
E_form (uncorrected) = 19 meV/atom

---

[19]
RhAuSe2 | GGA-PBE | relaxed

CIF file:
```
data_RhAuSe2
_chemical_formula_sum 'Rh4 Au4 Se8'
_cell_length_a 6.618
_cell_length_b 6.618
_cell_length_c 6.618
_cell_angle_alpha 90.00
_cell_angle_beta 90.00
_cell_angle_gamma 90.00
_space_group_name_H-M_alt 'F -4 3 m'
_space_group_IT_number 216
_space_group_name_Hall 'F -4 2 3'
loop_
_atom_site_label
_atom_site_fract_x
_atom_site_fract_y
_atom_site_fract_z
Rh1 0.000 0.000 0.000
Au1 0.250 0.250 0.250
Se1 0.000 0.000 0.500
Se2 0.250 0.250 0.750
```

Values from the calculation:
density = 10491 kg/m3
E_form (uncorrected) = 504 meV/atom

---

[20]
RhAu2Se | GGA-PBE | relaxed

CIF file:
```
data_RhAu2Se
_chemical_formula_sum 'Rh3 Au6 Se3'
_cell_length_a 2.8413
_cell_length_b 2.8413
_cell_length_c 31.4234
_cell_angle_alpha 90.00
_cell_angle_beta 90.00
_cell_angle_gamma 120.00
_space_group_name_H-M_alt 'R -3 m'
_space_group_IT_number 166
_space_group_name_Hall '-R 3 2"'
loop_
_atom_site_label
_atom_site_fract_x
_atom_site_fract_y
_atom_site_fract_z
Rh1 0.0000 0.0000 0.0000
Au1 0.0000 0.0000 0.2585
Se1 0.0000 0.0000 0.5000
```

Values from the calculation:
density = 13056 kg/m3
E_form (uncorrected) = 324 meV/atom